Compound: Y2ZnAs
Source: Alexandria via LeMat-Bulk
Functional: PBE
Structure: optimized geometry

Values from the calculation:
**Energy relative to the lowest polymorph listed for this composition**: 251 meV/atom
**VASP energy**: -0.196 hartree per atom
**DFT formation energy**: -0.620 eV per atom
**N(E_F)**: 0.9818 states/eV per atom

Unit cell a=5.042 b=5.042 c=5.042 alpha=60.00 beta=60.00 gamma=60.00
Fractional positions:
As 0.500 0.500 0.500
Y 0.750 0.750 0.750
Zn 0.000 0.000 0.000
Y 0.250 0.250 0.250


Compound: YZnAs
Source: Alexandria via LeMat-Bulk
Functional: PBE
Structure: optimized geometry

Values from the calculation:
**VASP energy**: -0.166 hartree per atom
**DFT formation energy**: -0.393 eV per atom
**N(E_F)**: 0.7829 states/eV per atom

Unit cell a=4.664 b=4.664 c=4.664 alpha=60.00 beta=60.00 gamma=60.00
Fractional positions:
As 0.750 0.750 0.750
Zn 0.500 0.500 0.500
Y 0.000 0.000 0.000


Compound: YZn2As
Source: Alexandria via LeMat-Bulk
Functional: PBE
Structure: optimized geometry

Values from the calculation:
**VASP energy**: -0.143 hartree per atom
**DFT formation energy**: -0.475 eV per atom
**N(E_F)**: 0.3012 states/eV per atom

Unit cell a=4.512 b=4.512 c=5.278 alpha=73.51 beta=73.51 gamma=54.13
Fractional positions:
Zn 0.710 0.710 0.836
Y 0.266 0.266 0.234
Zn 0.010 0.010 0.886
As 0.514 0.514 0.544


Compound: YZnAs2
Source: Alexandria via LeMat-Bulk
Functional: PBE
Structure: optimized geometry

Values from the calculation:
**VASP energy**: -0.176 hartree per atom
**DFT formation energy**: -0.538 eV per atom
**N(E_F)**: 0.4850 states/eV per atom

Unit cell a=6.688 b=6.688 c=6.688 alpha=35.12 beta=35.12 gamma=35.12
Fractional positions:
Zn 0.750 0.750 0.750
As 0.008 0.008 0.008
Y 0.250 0.250 0.250
As 0.492 0.492 0.492


Compound: YZnAs2
Source: Alexandria via LeMat-Bulk
Functional: PBE
Structure: optimized geometry

Values from the calculation:
**VASP energy**: -0.175 hartree per atom
**DFT formation energy**: -0.504 eV per atom
**N(E_F)**: 0.5057 states/eV per atom

Unit cell a=3.880 b=3.845 c=6.847 alpha=59.93 beta=90.00 gamma=90.00
Fractional positions:
As 0.000 0.941 0.034
Zn 0.500 0.750 0.750
As 0.000 0.559 0.466
Y 0.500 0.250 0.250


Compound: YZn2As
Source: Alexandria via LeMat-Bulk
Functional: PBE
Structure: optimized geometry

Values from the calculation:
**VASP energy**: -0.136 hartree per atom
**DFT formation energy**: -0.286 eV per atom
**N(E_F)**: 0.1992 states/eV per atom

Unit cell a=5.919 b=5.919 c=5.919 alpha=41.84 beta=41.84 gamma=41.84
Fractional positions:
Zn 0.521 0.521 0.521
As 0.250 0.250 0.250
Zn 0.979 0.979 0.979
Y 0.750 0.750 0.750


Compound: YZn2As
Source: Alexandria via LeMat-Bulk
Functional: PBE
Structure: optimized geometry

Values from the calculation:
**VASP energy**: -0.142 hartree per atom
**DFT formation energy**: -0.456 eV per atom
**N(E_F)**: 0.2382 states/eV per atom

Unit cell a=5.619 b=5.619 c=5.619 alpha=45.09 beta=45.09 gamma=45.09
Fractional positions:
Y 0.740 0.740 0.740
Zn 0.967 0.967 0.967
Zn 0.269 0.269 0.269
As 0.524 0.524 0.524


Compound: Y3ZnAs
Source: Alexandria via LeMat-Bulk
Functional: PBE
Structure: optimized geometry

Values from the calculation:
**Energy relative to the lowest polymorph listed for this composition**: 0 meV/atom
**VASP energy**: -0.197 hartree per atom
**DFT formation energy**: -0.296 eV per atom
**N(E_F)**: 1.4534 states/eV per atom

Unit cell a=5.377 b=5.377 c=5.377 alpha=90.00 beta=90.00 gamma=90.00
Fractional positions:
Zn 0.500 0.500 0.500
Y 0.000 0.000 0.500
Y 0.000 0.500 0.000
As 0.000 0.000 0.000
Y 0.500 0.000 0.000


Compound: YZnAs
Source: Alexandria via LeMat-Bulk
Functional: PBE
Structure: optimized geometry

Values from the calculation:
**VASP energy**: -0.171 hartree per atom
**DFT formation energy**: -0.520 eV per atom
**N(E_F)**: 0.3669 states/eV per atom

Unit cell a=5.870 b=5.616 c=3.581 alpha=75.75 beta=68.01 gamma=36.24
Fractional positions:
Zn 0.646 0.646 0.354
As 0.016 0.016 0.984
Y 0.338 0.338 0.662


Compound: Y2ZnAs
Source: Alexandria via LeMat-Bulk
Functional: PBE
Structure: optimized geometry

Values from the calculation:
**Energy relative to the lowest polymorph listed for this composition**: 228 meV/atom
**VASP energy**: -0.197 hartree per atom
**DFT formation energy**: -0.643 eV per atom
**N(E_F)**: 0.8372 states/eV per atom

Unit cell a=6.151 b=6.151 c=6.151 alpha=140.36 beta=140.36 gamma=57.31
Fractional positions:
Y 0.000 0.000 0.000
Zn 0.500 0.500 0.000
Y 0.250 0.750 0.500
As 0.750 0.250 0.500


Compound: YZn2As
Source: Alexandria via LeMat-Bulk
Functional: PBE
Structure: optimized geometry

Values from the calculation:
**VASP energy**: -0.140 hartree per atom
**DFT formation energy**: -0.383 eV per atom
**N(E_F)**: 0.3674 states/eV per atom

Unit cell a=3.725 b=3.725 c=6.040 alpha=90.00 beta=90.00 gamma=90.00
Fractional positions:
Zn 0.000 0.000 0.074
Y 0.500 0.500 0.711
Zn 0.500 0.500 0.202
As 0.000 0.000 0.513


Compound: YZn2As
Source: Alexandria via LeMat-Bulk
Functional: PBE
Structure: optimized geometry

Values from the calculation:
**VASP energy**: -0.146 hartree per atom
**DFT formation energy**: -0.553 eV per atom
**N(E_F)**: 0.4142 states/eV per atom

Unit cell a=3.923 b=3.922 c=5.256 alpha=90.02 beta=90.00 gamma=90.00
Fractional positions:
As 0.000 0.375 0.531
Y 0.500 0.875 0.681
Zn 0.000 0.875 0.144
Zn 0.500 0.375 0.144


Compound: Y2ZnAs
Source: Alexandria via LeMat-Bulk
Functional: PBE
Structure: optimized geometry

Values from the calculation:
**Energy relative to the lowest polymorph listed for this composition**: 125 meV/atom
**VASP energy**: -0.201 hartree per atom
**DFT formation energy**: -0.747 eV per atom
**N(E_F)**: 0.7307 states/eV per atom

Unit cell a=3.700 b=3.699 c=7.579 alpha=60.84 beta=90.00 gamma=90.00
Fractional positions:
As 0.500 0.750 0.750
Y 0.000 0.008 0.992
Zn 0.500 0.250 0.250
Y 0.000 0.492 0.508


Compound: YZn2As
Source: Alexandria via LeMat-Bulk
Functional: PBE
Structure: optimized geometry

Values from the calculation:
**VASP energy**: -0.135 hartree per atom
**DFT formation energy**: -0.253 eV per atom
**N(E_F)**: 1.0630 states/eV per atom

Unit cell a=4.860 b=4.860 c=4.860 alpha=60.00 beta=60.00 gamma=60.00
Fractional positions:
Y 0.250 0.250 0.250
Zn 0.750 0.750 0.750
Zn 0.000 0.000 0.000
As 0.500 0.500 0.500


Compound: YZnAs2
Source: Alexandria via LeMat-Bulk
Functional: PBE
Structure: optimized geometry

Values from the calculation:
**VASP energy**: -0.179 hartree per atom
**DFT formation energy**: -0.600 eV per atom
**N(E_F)**: 0.3426 states/eV per atom

Unit cell a=4.251 b=3.945 c=5.520 alpha=75.59 beta=90.00 gamma=90.00
Fractional positions:
As 0.000 0.004 0.832
Zn 0.500 0.689 0.945
As 0.500 0.163 0.311
Y 0.000 0.644 0.412


Compound: YZn2As
Source: Alexandria via LeMat-Bulk
Functional: PBE
Structure: optimized geometry

Values from the calculation:
**VASP energy**: -0.134 hartree per atom
**DFT formation energy**: -0.232 eV per atom
**N(E_F)**: 0.7181 states/eV per atom

Unit cell a=3.716 b=3.716 c=5.844 alpha=90.00 beta=90.00 gamma=89.99
Fractional positions:
As 0.500 0.500 0.250
Zn 0.000 0.000 0.466
Zn 0.000 0.000 0.034
Y 0.500 0.500 0.750


Compound: YZnAs2
Source: Alexandria via LeMat-Bulk
Functional: PBE
Structure: optimized geometry

Values from the calculation:
**VASP energy**: -0.175 hartree per atom
**DFT formation energy**: -0.514 eV per atom
**N(E_F)**: 0.5491 states/eV per atom

Unit cell a=6.493 b=6.493 c=6.493 alpha=37.06 beta=37.06 gamma=37.06
Fractional positions:
As 0.259 0.259 0.259
Y 0.495 0.495 0.495
As 0.075 0.075 0.075
Zn 0.671 0.671 0.671


Compound: Y2ZnAs
Source: Alexandria via LeMat-Bulk
Functional: PBE
Structure: optimized geometry

Values from the calculation:
**Energy relative to the lowest polymorph listed for this composition**: 434 meV/atom
**VASP energy**: -0.189 hartree per atom
**DFT formation energy**: -0.438 eV per atom
**N(E_F)**: 0.7270 states/eV per atom

Unit cell a=7.818 b=7.818 c=7.818 alpha=29.56 beta=29.56 gamma=29.56
Fractional positions:
As 0.773 0.773 0.773
Y 0.226 0.226 0.226
Zn 0.478 0.478 0.478
Y 0.024 0.024 0.024


Compound: Y2ZnAs
Source: Alexandria via LeMat-Bulk
Functional: PBE
Structure: optimized geometry

Values from the calculation:
**Energy relative to the lowest polymorph listed for this composition**: 340 meV/atom
**VASP energy**: -0.193 hartree per atom
**DFT formation energy**: -0.532 eV per atom
**N(E_F)**: 0.5115 states/eV per atom

Unit cell a=7.643 b=7.643 c=6.466 alpha=53.77 beta=53.77 gamma=90.00
Fractional positions:
Y 0.118 0.625 0.250
Zn 0.500 0.500 0.000
Y 0.375 0.368 0.750
Zn 0.250 0.750 0.500
Y 0.632 0.125 0.250
As 0.750 0.250 0.500
Y 0.875 0.882 0.750
As 0.000 0.000 0.000


Compound: YZnAs2
Source: Alexandria via LeMat-Bulk
Functional: PBE
Structure: optimized geometry

Values from the calculation:
**VASP energy**: -0.180 hartree per atom
**DFT formation energy**: -0.644 eV per atom
**N(E_F)**: 0.2163 states/eV per atom

Unit cell a=5.654 b=5.654 c=4.155 alpha=78.02 beta=78.02 gamma=41.52
Fractional positions:
As 0.978 0.978 0.936
As 0.231 0.231 0.401
Y 0.522 0.522 0.413
Zn 0.769 0.769 0.750


Compound: YZn2As
Source: Alexandria via LeMat-Bulk
Functional: PBE
Structure: optimized geometry

Values from the calculation:
**VASP energy**: -0.140 hartree per atom
**DFT formation energy**: -0.390 eV per atom
**N(E_F)**: 0.0718 states/eV per atom

Unit cell a=7.816 b=7.816 c=6.186 alpha=50.82 beta=50.82 gamma=90.00
Fractional positions:
Y 0.000 0.000 0.000
Zn 0.375 0.422 0.750
Zn 0.172 0.625 0.250
Y 0.750 0.250 0.500
As 0.500 0.500 0.000
As 0.250 0.750 0.500
Zn 0.875 0.828 0.750
Zn 0.578 0.125 0.250


Compound: YZnAs2
Source: Alexandria via LeMat-Bulk
Functional: PBE
Structure: optimized geometry

Values from the calculation:
**VASP energy**: -0.178 hartree per atom
**DFT formation energy**: -0.586 eV per atom
**N(E_F)**: 0.3379 states/eV per atom

Unit cell a=7.151 b=7.151 c=6.110 alpha=54.19 beta=54.19 gamma=90.00
Fractional positions:
Zn 0.500 0.500 0.000
As 0.375 0.420 0.750
Y 0.750 0.250 0.500
Y 0.000 0.000 0.000
As 0.170 0.625 0.250
As 0.875 0.830 0.750
As 0.580 0.125 0.250
Zn 0.250 0.750 0.500


Compound: YZnAs2
Source: Alexandria via LeMat-Bulk
Functional: PBE
Structure: optimized geometry

Values from the calculation:
**VASP energy**: -0.178 hartree per atom
**DFT formation energy**: -0.578 eV per atom
**N(E_F)**: 0.4433 states/eV per atom

Unit cell a=4.560 b=4.561 c=3.855 alpha=90.02 beta=90.02 gamma=89.91
Fractional positions:
As 0.000 0.000 0.000
Zn 0.000 0.500 0.500
As 0.500 0.500 0.000
Y 0.500 0.000 0.500


Compound: YZnAs
Source: Alexandria via LeMat-Bulk
Functional: PBE
Structure: optimized geometry

Values from the calculation:
**VASP energy**: -0.179 hartree per atom
**DFT formation energy**: -0.741 eV per atom
**N(E_F)**: 0.1281 states/eV per atom

Unit cell a=4.176 b=4.176 c=4.145 alpha=90.00 beta=90.00 gamma=120.00
Fractional positions:
Y 0.333 0.667 0.348
Zn 0.667 0.333 0.744
As 0.000 0.000 0.908


Compound: Y4ZnAs
Source: Alexandria via LeMat-Bulk
Functional: PBE
Structure: optimized geometry

Values from the calculation:
**VASP energy**: -0.181 hartree per atom
**DFT formation energy**: 0.380 eV per atom
**N(E_F)**: 1.3335 states/eV per atom

Unit cell a=6.220 b=6.220 c=6.220 alpha=60.00 beta=60.00 gamma=60.00
Fractional positions:
Zn 0.750 0.750 0.750
Y 0.375 0.375 0.875
Y 0.375 0.375 0.375
Y 0.875 0.375 0.375
Y 0.375 0.875 0.375
As 0.000 0.000 0.000


Compound: YZrZnAs2
Source: Alexandria via LeMat-Bulk
Functional: PBE
Structure: optimized geometry

Values from the calculation:
**VASP energy**: -0.172 hartree per atom
**DFT formation energy**: 0.441 eV per atom
**N(E_F)**: 1.1099 states/eV per atom

Unit cell a=4.873 b=5.052 c=4.873 alpha=90.00 beta=90.00 gamma=90.00
Fractional positions:
As 0.000 0.000 0.500
As 0.500 0.000 0.000
Zn 0.000 0.000 0.000
Y 0.000 0.500 0.000
Zr 0.500 0.500 0.500


Compound: Y2Zr2As
Source: Alexandria via LeMat-Bulk
Functional: PBE
Structure: optimized geometry

Values from the calculation:
**VASP energy**: -0.265 hartree per atom
**DFT formation energy**: -0.270 eV per atom
**N(E_F)**: 1.2756 states/eV per atom

Unit cell a=7.166 b=7.166 c=5.039 alpha=90.00 beta=90.00 gamma=90.00
Fractional positions:
Y 0.157 0.657 0.500
Y 0.657 0.843 0.500
Y 0.843 0.343 0.500
Zr 0.851 0.649 0.000
As 0.500 0.500 0.000
Zr 0.649 0.149 0.000
As 0.000 0.000 0.000
Zr 0.351 0.851 0.000
Zr 0.149 0.351 0.000
Y 0.343 0.157 0.500


Compound: YZrAs
Source: Alexandria via LeMat-Bulk
Functional: PBE
Structure: optimized geometry

Values from the calculation:
**VASP energy**: -0.257 hartree per atom
**DFT formation energy**: -0.442 eV per atom
**N(E_F)**: 1.6135 states/eV per atom

Unit cell a=4.635 b=4.635 c=3.884 alpha=90.00 beta=90.00 gamma=120.00
Fractional positions:
Zr 0.333 0.667 0.833
As 0.000 0.000 0.835
Y 0.667 0.333 0.332


Compound: YZrAs
Source: Alexandria via LeMat-Bulk
Functional: PBE
Structure: optimized geometry

Values from the calculation:
**VASP energy**: -0.268 hartree per atom
**DFT formation energy**: -0.727 eV per atom
**N(E_F)**: 0.7865 states/eV per atom

Unit cell a=3.783 b=3.783 c=6.108 alpha=90.00 beta=90.00 gamma=120.00
Fractional positions:
As 0.000 0.000 0.984
Zr 0.333 0.667 0.731
Y 0.667 0.333 0.285


Compound: YZrAs
Source: Alexandria via LeMat-Bulk
Functional: PBE
Structure: optimized geometry

Values from the calculation:
**VASP energy**: -0.278 hartree per atom
**DFT formation energy**: -1.006 eV per atom
**N(E_F)**: 0.9524 states/eV per atom

Unit cell a=4.131 b=4.131 c=7.921 alpha=90.00 beta=90.00 gamma=90.00
Fractional positions:
Zr 0.000 0.000 0.500
As 0.500 0.000 0.760
Zr 0.500 0.500 0.500
Y 0.000 0.500 0.857
As 0.000 0.500 0.240
Y 0.500 0.000 0.143